Entry 1:
Density functional theory data (PBE-GGA) for crystalline RbNaTc2 at its relaxed geometry.

abc: 5.2362 5.2362 5.2362
angles: 60.00 60.00 60.00
Element x y z (fractional)
Tc1 0.2500 0.2500 0.2500
Rb1 0.5000 0.5000 0.5000
Na1 0.0000 0.0000 0.0000
Tc2 0.7500 0.7500 0.7500

Computed properties:
Polymorph energy (0 for the lowest one), meV per atom: 280
ΔH_f (0 K), eV per atom: 2.138
Magnetic moment, μB per cell: 6.36
Space-group type: Fm-3m
D(E_F), states/eV/atom: 1.269
E, eV/f.u.: -14.5


Entry 2:
Density functional theory data (PBE-GGA) for crystalline RbAu3Br at its relaxed geometry.

abc: 5.9909 5.9909 5.9909
angles: 90.00 90.00 90.00
Element x y z (fractional)
Rb1 0.0000 0.0000 0.0000
Au1 0.5000 0.0000 0.0000
Au2 0.0000 0.0000 0.5000
Au3 0.0000 0.5000 0.0000
Br1 0.5000 0.5000 0.5000

Computed properties:
Formation energy without anion corrections, eV per atom: 1.185
Polymorph energy (0 for the lowest one), meV per atom: 842
Magnetic moment, μB per cell: 0.00
Space-group type: Pm-3m
D(E_F), states/eV/atom: 3.822
E, eV/f.u.: -6.5


Entry 3:
Density functional theory data (PBE-GGA) for crystalline Sn2HgF11 at its relaxed geometry.

abc: 7.9562 8.3791 8.3791
angles: 74.06 61.66 61.66
Element x y z (fractional)
F1 0.8797 0.4467 0.2867
F2 0.3797 0.7867 0.9467
F3 0.3869 0.2867 0.4467
F4 0.6210 0.2859 0.7141
F5 0.6131 0.7133 0.5533
F6 0.7556 0.4592 0.8154
F7 0.2444 0.5408 0.1846
F8 0.5302 0.0408 0.6846
Hg1 0.2500 0.2500 0.2500
F9 0.2556 0.3154 0.9592
Hg2 0.7500 0.7500 0.7500
F10 0.1131 0.0533 0.2133
F11 0.6203 0.2133 0.0533
F12 0.0000 0.0000 0.0000
F13 0.1203 0.5533 0.7133
F14 0.4698 0.9592 0.3154
F15 0.8869 0.9467 0.7867
F16 0.5000 0.5000 0.5000
Sn1 0.1400 0.8111 0.1889
Sn2 0.3600 0.3111 0.6889
F17 0.1210 0.2141 0.7859
Sn3 0.6400 0.6889 0.3111
Sn4 0.8600 0.1889 0.8111
F18 0.7444 0.6846 0.0408
F19 0.9698 0.8154 0.4592
F20 0.0302 0.1846 0.5408
F21 0.3790 0.7141 0.2859
F22 0.8790 0.7859 0.2141

Computed properties:
Formation energy without anion corrections, eV per atom: -1.946
Magnetic moment, μB per cell: 2.30
Space-group type: Ibam
D(E_F), states/eV/atom: 0.810
E, eV/f.u.: -56.1


Entry 4:
Density functional theory data (PBE-GGA) for crystalline Al2ZnGe2 at its relaxed geometry.

abc: 7.9180 7.9180 2.8983
angles: 90.00 90.00 90.00
Element x y z (fractional)
Zn1 0.0000 0.0000 0.0000
Al1 0.6428 0.8572 0.5000
Al2 0.1428 0.6428 0.5000
Al3 0.3572 0.1428 0.5000
Al4 0.8572 0.3572 0.5000
Ge1 0.1542 0.3458 0.0000
Ge2 0.8458 0.6542 0.0000
Ge3 0.6542 0.1542 0.0000
Ge4 0.3458 0.8458 0.0000
Zn2 0.5000 0.5000 0.0000

Computed properties:
ΔH_f (0 K), eV per atom: 0.194
Magnetic moment, μB per cell: 0.00
Space-group type: P4/mbm
D(E_F), states/eV/atom: 0.355
E, eV/f.u.: -17.0